Compound: Ca2ZrW
Source: Alexandria
Functional: GGA-PBE
Structure: optimized geometry

Cell lengths 3.6124, 3.6124, 8.5330 Å; angles 90.00, 90.00, 90.00 degrees
With the nearest neighbours (Å) after each atom.
Sites, in units of the cell vectors:
Ca (0.5000, 0.5000, 0.3084)  1 Zr 3.20, 4 W 3.31
Ca (0.0000, 0.0000, 0.9532)  1 W 3.40, 4 Zr 3.44, 4 Ca 3.61
W (0.0000, 0.0000, 0.5549)  4 Zr 2.78
Zr (0.5000, 0.5000, 0.6834)  4 W 2.78

Results
As for the density of states at the Fermi level: 3.990 states/eV/cell. The formation enthalpy at 0 K is 0.3878 eV per atom. The value obtained for the calculated total energy is -5.99 eV per atom. The calculation puts the distance to the lowest polymorph of the same formula at 0 meV/atom. Its space group is P4mm (99). The calculation puts the size of the total moment at 0.000 μB per formula unit. The crystal system is tetragonal.